No. 1
Material: NbTcSe2Br
Method: DFT, PBE-GGA
State: optimized geometry

abc: 4.8454 4.8454 4.9376
angles: 90.00 90.00 90.00
Positions (direct):
Tc (0.0000, 0.0000, 0.0000)
Nb (0.5000, 0.5000, 0.5000)
Se (0.5000, 0.0000, 0.0000)
Se (0.0000, 0.5000, 0.0000)
Br (0.0000, 0.0000, 0.5000)

Values from the calculation:
- DOS at the Fermi energy: 9.109 states/eV per cell
- Formation energy from raw total energies: 900 meV per atom
- Final energy: -24.6 eV for the cell shown
- Crystal system: tetragonal
- V: 23.18 Å³/atom
- Theoretical density: 6.14 g/cm3

No. 2
Material: NbTcSe2Br
Method: DFT, PBE-GGA
State: optimized geometry

abc: 5.0667 5.0667 5.1290
angles: 90.00 90.00 90.00
Positions (direct):
Se (0.0000, 0.5000, 0.0000)
Se (0.5000, 0.0000, 0.0000)
Nb (0.0000, 0.0000, 0.0000)
Br (0.0000, 0.0000, 0.5000)
Tc (0.5000, 0.5000, 0.5000)

Values from the calculation:
- DOS at the Fermi energy: 4.986 states/eV per cell
- Formation energy from raw total energies: 600 meV per atom
- Final energy: -26.1 eV for the cell shown
- Crystal system: tetragonal
- V: 26.33 Å³/atom
- Theoretical density: 5.41 g/cm3

No. 3
Material: NbTcSe2Br
Method: DFT, PBE-GGA
State: optimized geometry

abc: 5.0738 4.5956 5.0738
angles: 90.00 90.00 90.00
Positions (direct):
Se (0.5000, 0.0000, 0.0000)
Se (0.0000, 0.0000, 0.5000)
Tc (0.0000, 0.5000, 0.0000)
Br (0.0000, 0.0000, 0.0000)
Nb (0.5000, 0.5000, 0.5000)

Values from the calculation:
- DOS at the Fermi energy: 7.973 states/eV per cell
- Formation energy from raw total energies: 1728 meV per atom
- Final energy: -20.4 eV for the cell shown
- Crystal system: tetragonal
- V: 23.66 Å³/atom
- Theoretical density: 6.02 g/cm3

No. 4
Material: NbTeSeBr2
Method: DFT, PBE-GGA
State: optimized geometry

abc: 5.4915 5.6153 5.4915
angles: 90.00 90.00 90.00
Positions (direct):
Nb (0.0000, 0.5000, 0.0000)
Br (0.0000, 0.0000, 0.5000)
Br (0.5000, 0.0000, 0.0000)
Te (0.0000, 0.0000, 0.0000)
Se (0.5000, 0.5000, 0.5000)

Values from the calculation:
- DOS at the Fermi energy: 2.947 states/eV per cell
- Formation energy from raw total energies: 815 meV per atom
- Final energy: -16.0 eV for the cell shown
- Crystal system: tetragonal
- V: 33.87 Å³/atom
- Theoretical density: 4.50 g/cm3

No. 5
Material: NbTeSeBr2
Method: DFT, PBE-GGA
State: optimized geometry

abc: 5.1909 5.1909 5.1156
angles: 90.00 90.00 90.00
Positions (direct):
Se (0.0000, 0.0000, 0.5000)
Nb (0.0000, 0.0000, 0.0000)
Br (0.5000, 0.0000, 0.0000)
Br (0.0000, 0.5000, 0.0000)
Te (0.5000, 0.5000, 0.5000)

Values from the calculation:
- DOS at the Fermi energy: 5.112 states/eV per cell
- Formation energy from raw total energies: 6 meV per atom
- Final energy: -20.0 eV for the cell shown
- Crystal system: tetragonal
- V: 27.57 Å³/atom
- Theoretical density: 5.53 g/cm3

No. 6
Material: NbTeSeBr2
Method: DFT, PBE-GGA
State: optimized geometry

abc: 5.4914 5.4914 5.5675
angles: 90.00 90.00 90.00
Positions (direct):
Nb (0.5000, 0.5000, 0.5000)
Te (0.0000, 0.0000, 0.0000)
Br (0.0000, 0.5000, 0.0000)
Br (0.5000, 0.0000, 0.0000)
Se (0.0000, 0.0000, 0.5000)

Values from the calculation:
- DOS at the Fermi energy: 8.235 states/eV per cell
- Formation energy from raw total energies: 879 meV per atom
- Final energy: -15.6 eV for the cell shown
- Crystal system: tetragonal
- V: 33.58 Å³/atom
- Theoretical density: 4.54 g/cm3

No. 7
Material: NbTeSe2Br
Method: DFT, PBE-GGA
State: optimized geometry

abc: 5.4367 5.4367 5.2690
angles: 90.00 90.00 90.00
Positions (direct):
Se (0.5000, 0.0000, 0.0000)
Se (0.0000, 0.5000, 0.0000)
Nb (0.5000, 0.5000, 0.5000)
Br (0.0000, 0.0000, 0.5000)
Te (0.0000, 0.0000, 0.0000)

Values from the calculation:
- DOS at the Fermi energy: 6.432 states/eV per cell
- Formation energy from raw total energies: 897 meV per atom
- Final energy: -17.4 eV for the cell shown
- Crystal system: tetragonal
- V: 31.15 Å³/atom
- Theoretical density: 4.89 g/cm3

No. 8
Material: NbTeSe2Br
Method: DFT, PBE-GGA
State: optimized geometry

abc: 5.0903 5.0903 5.1333
angles: 90.00 90.00 90.00
Positions (direct):
Nb (0.0000, 0.0000, 0.0000)
Se (0.5000, 0.0000, 0.0000)
Se (0.0000, 0.5000, 0.0000)
Br (0.0000, 0.0000, 0.5000)
Te (0.5000, 0.5000, 0.5000)

Values from the calculation:
- DOS at the Fermi energy: 5.900 states/eV per cell
- Formation energy from raw total energies: 6 meV per atom
- Final energy: -21.8 eV for the cell shown
- Crystal system: tetragonal
- V: 26.60 Å³/atom
- Theoretical density: 5.72 g/cm3

No. 9
Material: TiNbSeBr2
Method: DFT, PBE-GGA
State: optimized geometry

abc: 4.8755 5.5904 4.8755
angles: 90.00 90.00 90.00
Positions (direct):
Se (0.5000, 0.5000, 0.5000)
Br (0.5000, 0.0000, 0.0000)
Br (0.0000, 0.0000, 0.5000)
Nb (0.0000, 0.0000, 0.0000)
Ti (0.0000, 0.5000, 0.0000)

Values from the calculation:
- DOS at the Fermi energy: 5.089 states/eV per cell
- Formation energy from raw total energies: 364 meV per atom
- Final energy: -23.0 eV for the cell shown
- Crystal system: tetragonal
- V: 26.58 Å³/atom
- Theoretical density: 4.74 g/cm3

No. 10
Material: TiNbSeBr2
Method: DFT, PBE-GGA
State: optimized geometry

abc: 5.0377 5.0377 5.1065
angles: 90.00 90.00 90.00
Positions (direct):
Nb (0.5000, 0.5000, 0.5000)
Ti (0.0000, 0.0000, 0.0000)
Se (0.0000, 0.0000, 0.5000)
Br (0.5000, 0.0000, 0.0000)
Br (0.0000, 0.5000, 0.0000)

Values from the calculation:
- DOS at the Fermi energy: 7.861 states/eV per cell
- Formation energy from raw total energies: 170 meV per atom
- Final energy: -23.9 eV for the cell shown
- Crystal system: tetragonal
- V: 25.92 Å³/atom
- Theoretical density: 4.86 g/cm3

No. 11
Material: NbTlSeBr2
Method: DFT, PBE-GGA
State: optimized geometry

abc: 5.4579 5.4579 5.0487
angles: 90.00 90.00 90.00
Positions (direct):
Nb (0.0000, 0.0000, 0.0000)
Br (0.5000, 0.0000, 0.0000)
Br (0.0000, 0.5000, 0.0000)
Se (0.0000, 0.0000, 0.5000)
Tl (0.5000, 0.5000, 0.5000)

Values from the calculation:
- DOS at the Fermi energy: 2.114 states/eV per cell
- Formation energy from raw total energies: -508 meV per atom
- Final energy: -21.8 eV for the cell shown
- Crystal system: tetragonal
- V: 30.08 Å³/atom
- Theoretical density: 5.92 g/cm3

No. 12
Material: NbTlSeBr2
Method: DFT, PBE-GGA
State: optimized geometry

abc: 5.5320 5.5320 5.4713
angles: 90.00 90.00 90.00
Positions (direct):
Br (0.5000, 0.0000, 0.0000)
Br (0.0000, 0.5000, 0.0000)
Nb (0.5000, 0.5000, 0.5000)
Se (0.0000, 0.0000, 0.5000)
Tl (0.0000, 0.0000, 0.0000)

Values from the calculation:
- DOS at the Fermi energy: 6.210 states/eV per cell
- Formation energy from raw total energies: 724 meV per atom
- Final energy: -15.6 eV for the cell shown
- Crystal system: tetragonal
- V: 33.49 Å³/atom
- Theoretical density: 5.32 g/cm3

Values for spin magnetization, μB/atom, ordered as above
0.17, 0.96, 0.40, 0.67, 0.30, 0.76, 0.60, 0.18, 0.00, 1.00, 0.38, 0.68